# 1
# PBE La3Pm5Nd4, relaxed
# - M_tot (μB per formula unit) = 0.23
# - energy above the most stable polymorph in this dataset (meV per atom) = 183
# - formation energy (eV per atom) = 0.1987
data_La3Pm5Nd4
_chemical_formula_sum 'La6 Pm10 Nd8'
_space_group_name_H-M_alt 'C 1 2/m 1'
_space_group_IT_number 12
_space_group_name_Hall '-C 2y'
_cell_length_a 16.518
_cell_length_b 6.111
_cell_length_c 9.520
_cell_angle_alpha 90.00
_cell_angle_beta 116.16
_cell_angle_gamma 90.00
loop_
_atom_site_label
_atom_site_type_symbol
_atom_site_fract_x
_atom_site_fract_y
_atom_site_fract_z
_atom_site_occupancy
La1 La 0.000 0.000 0.000 1
La2 La 0.206 0.500 0.220 1
Pm1 Pm 0.000 0.500 0.000 1
Pm2 Pm 0.074 0.000 0.698 1
Pm3 Pm 0.173 0.000 0.394 1
Nd1 Nd 0.082 0.500 0.440 1
Nd2 Nd 0.208 0.500 0.873 1

---

# 2
# PBE La7PmNd3, relaxed
# - M_tot (μB per formula unit) = 0.00
# - formation energy (eV per atom) = 0.1557
data_La7PmNd3
_chemical_formula_sum 'La7 Pm1 Nd3'
_space_group_name_H-M_alt 'P 3 m 1'
_space_group_IT_number 156
_space_group_name_Hall 'P 3 -2"'
_cell_length_a 7.3640
_cell_length_b 7.3640
_cell_length_c 8.8192
_cell_angle_alpha 90.00
_cell_angle_beta 90.00
_cell_angle_gamma 120.00
loop_
_atom_site_label
_atom_site_type_symbol
_atom_site_fract_x
_atom_site_fract_y
_atom_site_fract_z
_atom_site_occupancy
La1 La 0.0000 0.0000 0.0000 1
La2 La 0.0026 0.5013 0.0179 1
La3 La 0.1679 0.3359 0.6702 1
Pm1 Pm 0.6667 0.3333 0.6858 1
Nd1 Nd 0.3333 0.1666 0.3438 1

---

# 3
# PBE La12Pm5Nd, relaxed
# - M_tot (μB per formula unit) = 0.00
# - formation energy (eV per atom) = 0.0170
data_La12Pm5Nd
_chemical_formula_sum 'La12 Pm5 Nd1'
_space_group_name_H-M_alt 'P -1'
_space_group_IT_number 2
_space_group_name_Hall '-P 1'
_cell_length_a 6.429
_cell_length_b 11.090
_cell_length_c 11.111
_cell_angle_alpha 119.91
_cell_angle_beta 106.65
_cell_angle_gamma 90.04
loop_
_atom_site_label
_atom_site_type_symbol
_atom_site_fract_x
_atom_site_fract_y
_atom_site_fract_z
_atom_site_occupancy
La1 La 0.000 0.168 0.000 1
La2 La 0.166 0.002 0.667 1
La3 La 0.167 0.665 0.667 1
La4 La 0.333 0.498 0.333 1
La5 La 0.334 0.835 0.334 1
La6 La 0.500 0.331 0.000 1
Pm1 Pm 0.167 0.333 0.666 1
Pm2 Pm 0.334 0.167 0.333 1
Pm3 Pm 0.500 0.000 0.000 1
Nd1 Nd 0.000 0.500 0.000 1

---

# 4
# PBE La2PmNd, relaxed
# - M_tot (μB per formula unit) = 0.01
# - energy above the most stable polymorph in this dataset (meV per atom) = 106
# - formation energy (eV per atom) = 0.1170
data_La2PmNd
_chemical_formula_sum 'La8 Pm4 Nd4'
_space_group_name_H-M_alt 'F m -3 m'
_space_group_IT_number 225
_space_group_name_Hall '-F 4 2 3'
_cell_length_a 8.346
_cell_length_b 8.346
_cell_length_c 8.346
_cell_angle_alpha 90.00
_cell_angle_beta 90.00
_cell_angle_gamma 90.00
loop_
_atom_site_label
_atom_site_type_symbol
_atom_site_fract_x
_atom_site_fract_y
_atom_site_fract_z
_atom_site_occupancy
La1 La 0.250 0.250 0.250 1
Pm1 Pm 0.000 0.000 0.000 1
Nd1 Nd 0.000 0.000 0.500 1